Computed, not measured: an optimized crystal structure of SrBi3Pd3 at the PBE level of DFT.

Unit cell a=8.7854 b=8.7854 c=7.4864 alpha=54.07 beta=54.07 gamma=60.00
Element x y z (fractional)
1 Sr 0.3310 0.3310 0.0069
2 Sr 0.6690 0.6690 0.9931
3 Bi 0.3639 0.8171 0.7248
4 Bi 0.8171 0.0942 0.7248
5 Bi 0.0942 0.3639 0.7248
6 Bi 0.9058 0.6361 0.2752
7 Bi 0.1829 0.9058 0.2752
8 Bi 0.6361 0.1829 0.2752
9 Pd 0.3123 0.5378 0.2280
10 Pd 0.9220 0.3123 0.2280
11 Pd 0.5378 0.9220 0.2280
12 Pd 0.4622 0.0780 0.7720
13 Pd 0.0780 0.6877 0.7720
14 Pd 0.6877 0.4622 0.7720

## Properties
crystal system = trigonal
distance to the lowest polymorph of the same formula = 0.126 eV/atom
DFT formation energy = -0.3357 eV/atom